Computed, not measured: an optimized crystal structure of K2Mg3ZnSn4 at the PBE level of DFT.

abc: 4.7139 4.7139 12.8538
angles: 90.00 90.00 90.00
Closest atoms and distances in Å follow each position.
Sites, in units of the cell vectors:
Sn: 0.0000 0.5000 0.3698  3 Mg 2.87-2.89, 2 Zn 2.89
Sn: 0.5000 0.5000 0.0000  4 Mg 3.02, 4 Sn 3.33
Sn: 0.5000 0.0000 0.6302  3 Mg 2.87-2.89, 2 Zn 2.89
Sn: 0.0000 0.0000 0.0000  4 Mg 3.02, 4 Sn 3.33
Zn: 0.5000 0.5000 0.5000  4 Sn 2.89
Mg: 0.0000 0.5000 0.1464  5 Sn 2.87-3.02
Mg: 0.0000 0.0000 0.5000  4 Sn 2.89
Mg: 0.5000 0.0000 0.8536  5 Sn 2.87-3.02
K: 0.5000 0.0000 0.2602  4 Sn 3.62, 6 Mg 3.64-3.88, 2 Zn 3.88
K: 0.0000 0.5000 0.7398  4 Sn 3.62, 6 Mg 3.64-3.88, 2 Zn 3.88

Summary:
- Energy relative to the elements: -0.16 eV/atom
- Space group: No. 115
- E: -2.59 eV per atom
- Theoretical density: 4.02 g/cm3